Computed, not measured: Tl2NiP4H8O16 after structural relaxation at the GGA+U level of DFT.

## Properties
calculated total energy = -5.97 eV/atom
total magnetic moment = 2.10 μB per formula unit
N(E_F) = 0.000 states/eV/atom

a b c (Å): 7.0931 7.4948 7.6988
angles (deg): 81.91 73.23 87.24
Space group P-1 (No. 2)
Asymmetric unit:
Tl (0.1210, 0.2195, 0.2992)
Ni (0.5000, 0.0000, 0.5000)
P (0.2559, 0.3011, 0.7538)
P (0.3351, 0.7628, 0.2415)
H (0.0575, 0.7654, 0.0842)
H (0.2600, 0.5392, 0.4735)
H (0.3741, 0.8159, 0.8495)
H (0.3837, 0.6808, 0.7050)
O (0.0761, 0.2754, 0.9296)
O (0.2465, 0.5739, 0.3399)
O (0.2521, 0.8225, 0.0819)
O (0.2652, 0.1595, 0.6288)
O (0.2708, 0.4956, 0.6600)
O (0.3101, 0.8935, 0.3807)
O (0.4316, 0.2687, 0.8523)
O (0.4434, 0.7919, 0.7228)